# 1
This record from Alexandria via LeMat-Bulk describes an optimized crystal structure of PrHo2ErTh. The functional is PBE.

formation energy from the elements = 0.32 eV/atom
density = 8.3 g/cm³

```
PrHo2ErTh
1.0
-5.024 1.459 2.110
2.993 -1.331 8.043
2.096 6.742 0.330
Th Pr Er Ho
2 2 2 4
direct
0.500 0.000 0.250
0.500 0.000 0.750
0.000 0.000 0.000
0.000 0.000 0.500
0.000 0.500 0.250
0.000 0.500 0.750
0.500 0.322 0.501
0.500 0.678 0.999
0.500 0.322 0.001
0.500 0.678 0.499
```

# 2
This record from Alexandria via LeMat-Bulk describes an optimized crystal structure of ZnRuW2. The functional is PBE.

formation energy from the elements = 0.25 eV/atom
density = 14.5 g/cm³

```
ZnRuW2
1.0
5.175 -0.003 0.009
2.315 4.628 -0.009
-3.244 -3.124 2.549
W Zn Ru
2 1 1
direct
0.761 0.261 0.500
0.000 0.000 0.000
0.496 0.496 0.000
0.243 0.743 0.500
```

# 3
This record from Alexandria via LeMat-Bulk describes an optimized crystal structure of ZrMnCu. The functional is PBE.

formation energy from the elements = 0.10 eV/atom
density = 7.0 g/cm³
relative energy among the computed polymorphs = 0.20 eV/f.u.

```
ZrMnCu
1.0
4.260 0.000 0.000
-2.130 3.689 0.000
0.000 0.000 3.177
Zr Cu Mn
1 1 1
direct
0.667 0.333 0.667
0.000 0.000 0.167
0.333 0.667 0.167
```

# 4
This record from Alexandria via LeMat-Bulk describes an optimized crystal structure of YCo2As. The functional is PBE.

formation energy from the elements = -0.09 eV/atom
density = 7.4 g/cm³

```
YCo2As
1.0
5.063 0.006 0.000
2.158 4.580 0.000
-3.610 -2.293 2.710
As Co Y
1 2 1
direct
0.750 0.250 0.500
0.000 0.000 0.000
0.250 0.750 0.500
0.500 0.500 0.000
```

# 5
This record from Alexandria via LeMat-Bulk describes an optimized crystal structure of PmDy7Sc2. The functional is PBE.

formation energy from the elements = 0.06 eV/atom
density = 7.5 g/cm³
relative energy among the computed polymorphs = 0.00 eV/f.u.

```
PmDy7Sc2
1.0
-1.623 5.208 0.534
0.259 -6.316 6.132
7.039 5.030 0.476
Sc Pm Dy
2 1 7
direct
0.357 0.141 0.568
0.643 0.859 0.432
0.000 0.000 0.000
0.800 0.198 0.795
0.200 0.802 0.205
0.298 0.700 0.804
0.702 0.300 0.196
0.500 0.500 0.000
0.141 0.353 0.424
0.859 0.647 0.576
```

# 6
This record from Alexandria via LeMat-Bulk describes an optimized crystal structure of CaYAgSe3. The functional is PBE.

density = 5.2 g/cm³
DFT total energy = -0.1871 Ha/atom

```
CaYAgSe3
1.0
4.090 0.000 0.000
0.000 8.186 0.033
0.000 -2.136 9.041
Se Ca Ag Y
6 2 2 2
direct
0.750 0.424 0.153
0.250 0.728 0.490
0.250 0.085 0.868
0.750 0.915 0.132
0.250 0.576 0.847
0.750 0.272 0.510
0.750 0.802 0.750
0.250 0.198 0.250
0.750 0.906 0.414
0.250 0.094 0.586
0.750 0.324 0.830
0.250 0.676 0.170
```

# 7
This record from Alexandria via LeMat-Bulk describes an optimized crystal structure of Hf2VGaAs. The functional is PBE.

formation energy from the elements = 0.64 eV/atom
density = 8.2 g/cm³

```
Hf2VGaAs
1.0
4.949 0.000 0.000
0.000 4.559 0.000
0.000 0.000 4.949
Hf As Ga V
2 1 1 1
direct
0.500 0.000 0.000
0.000 0.000 0.500
0.500 0.500 0.500
0.000 0.000 0.000
0.000 0.500 0.000
```

# 8
This record from Alexandria via LeMat-Bulk describes an optimized crystal structure of NaMgSN2. The functional is PBE.

density = 1.9 g/cm³
relative energy among the computed polymorphs = 3.16 eV/f.u.

```
NaMgSN2
1.0
-2.130 -3.654 0.338
3.648 -2.067 0.647
-0.487 0.764 5.185
N S Mg Na
2 1 1 1
direct
0.000 0.500 0.000
0.500 0.000 0.000
0.000 0.000 0.500
0.500 0.500 0.500
0.000 0.000 0.000
```